A relaxed V2RuO crystal, computed with PBE with a Hubbard U.

Values from the calculation:
Symmetry   I-42d, No. 122
Total moment   0.95 μB/atom
DFT total energy   -0.268 Ha/atom
N(E_F)   6.04 states/eV/cell

Cell lengths 5.8406, 5.8406, 5.3619 Å; angles 57.00, 57.00, 90.00 degrees
Closest atoms and distances in Å follow each position.
Sites, in units of the cell vectors:
Ru (0.0000, 0.0000, 0.0000)  4 V 2.55
Ru (0.7500, 0.2500, 0.5000)  4 V 2.55
O (0.2500, 0.7500, 0.5000)  4 V 1.97
O (0.5000, 0.5000, 0.0000)  4 V 1.97
V (0.8750, 0.7981, 0.7500)  2 O 1.97
V (0.2019, 0.6250, 0.2500)  2 O 1.97
V (0.5481, 0.1250, 0.2500)  2 O 1.97
V (0.3750, 0.4519, 0.7500)  2 O 1.97